Ba2Re3MoO12 | PBE with a Hubbard U | optimized geometry

a b c (Å): 7.2084 7.2084 7.2084
angles (deg): 61.38 61.38 61.38
Closest atoms and distances in Å follow each position.
Fractional coordinates of all 18 atoms:
Re 0.0000 0.0000 0.5000  6 O 1.92-1.93
Re 0.5000 0.0000 0.0000  6 O 1.92-1.93
Re 0.0000 0.5000 0.0000  6 O 1.92-1.93
O 0.0953 0.0953 0.6394  1 Re 1.93
O 0.9047 0.3606 0.9047  1 Re 1.93
O 0.3606 0.9047 0.9047  1 Re 1.93
O 0.0758 0.6990 0.6990  2 Re 1.92
O 0.0953 0.6394 0.0953  1 Re 1.93
O 0.6990 0.0758 0.6990  2 Re 1.92
O 0.9242 0.3010 0.3010  2 Re 1.92
O 0.3010 0.9242 0.3010  2 Re 1.92
O 0.3010 0.3010 0.9242  2 Re 1.92
O 0.6394 0.0953 0.0953  1 Re 1.93
O 0.9047 0.9047 0.3606  1 Re 1.93
O 0.6990 0.6990 0.0758  2 Re 1.92
Ba 0.6397 0.6397 0.6397  3 O 2.73
Ba 0.3603 0.3603 0.3603  3 O 2.73
Mo 0.0000 0.0000 0.0000  6 O 2.18

Values from the calculation:
Its total magnetization is 5.3 μB/cell. The value obtained for the density is 6.82 g/cm3. Its final energy is -140.922 eV for the cell shown. The crystal system is trigonal. As for the space-group type: R-3m, No. 166. The density of states at the Fermi level comes out at 7.641 states/eV per cell.